# Nd4DyTl5 | Alexandria via LeMat-Bulk | GGA-PBE | optimized geometry
# - total DFT energy (no corrections) (eV/atom) = -3.933
# - ΔH_f (0 K) (meV/atom) = -383
data_Nd4DyTl5
_cell_length_a 3.8392
_cell_length_b 3.8392
_cell_length_c 19.8649
_cell_angle_alpha 90.00
_cell_angle_beta 90.00
_cell_angle_gamma 90.00
_space_group_name_H-M_alt 'P 4/m m m'
_space_group_IT_number 123
_space_group_name_Hall '-P 4 2'
loop_
_atom_site_label
_atom_site_type_symbol
_atom_site_fract_x
_atom_site_fract_y
_atom_site_fract_z
Nd1 Nd 0.0000 0.0000 0.1017
Nd2 Nd 0.0000 0.0000 0.3054
Dy1 Dy 0.0000 0.0000 0.5000
Tl1 Tl 0.5000 0.5000 0.0000
Tl2 Tl 0.5000 0.5000 0.2040
Tl3 Tl 0.5000 0.5000 0.4074

---

# SrPIr | Alexandria via LeMat-Bulk | GGA-PBE | optimized geometry
# - total DFT energy (no corrections) (eV/atom) = -4.376
# - ΔH_f (0 K) (meV/atom) = 942
data_SrPIr
_cell_length_a 6.7164
_cell_length_b 6.7164
_cell_length_c 6.7164
_cell_angle_alpha 90.00
_cell_angle_beta 90.00
_cell_angle_gamma 90.00
_space_group_name_H-M_alt 'F -4 3 m'
_space_group_IT_number 216
_space_group_name_Hall 'F -4 2 3'
loop_
_atom_site_label
_atom_site_type_symbol
_atom_site_fract_x
_atom_site_fract_y
_atom_site_fract_z
Sr1 Sr 0.0000 0.0000 0.0000
P1 P 0.2500 0.2500 0.2500
Ir1 Ir 0.2500 0.2500 0.7500

---

# Mg3Si4 | Alexandria via LeMat-Bulk | GGA-PBE | optimized geometry
# - formation energy without anion corrections (meV per atom) = 60
# - energy above the most stable polymorph in this dataset (meV per atom) = 8
# - total DFT energy (no corrections) (eV/atom) = -3.723
data_Mg3Si4
_cell_length_a 3.8211
_cell_length_b 8.2297
_cell_length_c 9.4907
_cell_angle_alpha 108.52
_cell_angle_beta 90.04
_cell_angle_gamma 103.40
_space_group_name_H-M_alt 'P 1'
_space_group_IT_number 1
loop_
_space_group_symop_operation_xyz
'x,y,z'
loop_
_atom_site_label
_atom_site_type_symbol
_atom_site_fract_x
_atom_site_fract_y
_atom_site_fract_z
Mg1 Mg 0.0000 0.0000 0.0000
Mg2 Mg 0.0049 0.0066 0.3795
Mg3 Mg 0.1961 0.3909 0.3256
Mg4 Mg 0.3689 0.7338 0.1474
Mg5 Mg 0.6847 0.3697 0.0515
Mg6 Mg 0.8120 0.6188 0.6330
Si1 Si 0.0873 0.1736 0.7988
Si2 Si 0.2408 0.4771 0.8103
Si3 Si 0.3905 0.7785 0.5068
Si4 Si 0.5449 0.0890 0.6386
Si5 Si 0.5565 0.1124 0.2139
Si6 Si 0.6361 0.2689 0.4785
Si7 Si 0.8247 0.6451 0.9222
Si8 Si 0.8300 0.6570 0.3361

---

# La4Sm3Th | Alexandria via LeMat-Bulk | GGA-PBE | optimized geometry
# - energy above the most stable polymorph in this dataset (meV per atom) = 0
# - total DFT energy (no corrections) (eV/atom) = -5.012
# - ΔH_f (0 K) (meV/atom) = 149
data_La4Sm3Th
_cell_length_a 24.0910
_cell_length_b 3.5131
_cell_length_c 6.9850
_cell_angle_alpha 90.00
_cell_angle_beta 106.80
_cell_angle_gamma 90.00
_space_group_name_H-M_alt 'C 1 2/m 1'
_space_group_IT_number 12
loop_
_space_group_symop_operation_xyz
'x,y,z'
'-x,-y,-z'
'-x,y,-z'
'x,-y,z'
'x+1/2,y+1/2,z'
'-x+1/2,-y+1/2,-z'
'-x+1/2,y+1/2,-z'
'x+1/2,-y+1/2,z'
loop_
_atom_site_label
_atom_site_type_symbol
_atom_site_fract_x
_atom_site_fract_y
_atom_site_fract_z
La1 La 0.1199 0.0000 0.3586
La2 La 0.2436 0.5000 0.2375
Sm1 Sm 0.0000 0.0000 0.5000
Sm2 Sm 0.1211 0.0000 0.8847
Th1 Th 0.0000 0.5000 0.0000

---

# Pr3Si | Alexandria via LeMat-Bulk | GGA-PBE | optimized geometry
# - formation energy without anion corrections (meV per atom) = -244
# - energy above the most stable polymorph in this dataset (meV per atom) = 117
# - total DFT energy (no corrections) (eV/atom) = -5.184
data_Pr3Si
_cell_length_a 4.0352
_cell_length_b 11.5463
_cell_length_c 5.2157
_cell_angle_alpha 90.00
_cell_angle_beta 90.00
_cell_angle_gamma 90.00
_space_group_name_H-M_alt 'I m m 2'
_space_group_IT_number 44
loop_
_space_group_symop_operation_xyz
'x,y,z'
'-x,-y,z'
'-x,y,z'
'x,-y,z'
'x+1/2,y+1/2,z+1/2'
'-x+1/2,-y+1/2,z+1/2'
'-x+1/2,y+1/2,z+1/2'
'x+1/2,-y+1/2,z+1/2'
loop_
_atom_site_label
_atom_site_type_symbol
_atom_site_fract_x
_atom_site_fract_y
_atom_site_fract_z
Pr1 Pr 0.0000 0.0000 0.0000
Pr2 Pr 0.0000 0.2013 0.5039
Si1 Si 0.0000 0.5000 0.9981

---

# Ni4HgIr | Alexandria via LeMat-Bulk | GGA-PBE | optimized geometry
# - total DFT energy (no corrections) (eV/atom) = -5.135
# - ΔH_f (0 K) (meV/atom) = 246
data_Ni4HgIr
_cell_length_a 6.7843
_cell_length_b 6.7843
_cell_length_c 6.7843
_cell_angle_alpha 90.00
_cell_angle_beta 90.00
_cell_angle_gamma 90.00
_space_group_name_H-M_alt 'F -4 3 m'
_space_group_IT_number 216
_space_group_name_Hall 'F -4 2 3'
loop_
_atom_site_label
_atom_site_type_symbol
_atom_site_fract_x
_atom_site_fract_y
_atom_site_fract_z
Ni1 Ni 0.1243 0.1243 0.3757
Hg1 Hg 0.0000 0.0000 0.0000
Ir1 Ir 0.2500 0.2500 0.7500

---

# NaCuTe2Se | Alexandria via LeMat-Bulk | GGA-PBE | optimized geometry
# - formation energy without anion corrections (meV per atom) = -4
# - total DFT energy (no corrections) (eV/atom) = -3.041
data_NaCuTe2Se
_cell_length_a 5.3071
_cell_length_b 5.3071
_cell_length_c 4.8669
_cell_angle_alpha 90.00
_cell_angle_beta 90.00
_cell_angle_gamma 90.00
_space_group_name_H-M_alt 'P 4/m m m'
_space_group_IT_number 123
_space_group_name_Hall '-P 4 2'
loop_
_atom_site_label
_atom_site_type_symbol
_atom_site_fract_x
_atom_site_fract_y
_atom_site_fract_z
Na1 Na 0.0000 0.0000 0.0000
Cu1 Cu 0.5000 0.5000 0.5000
Te1 Te 0.0000 0.5000 0.5000
Se1 Se 0.5000 0.5000 0.0000

---

# TmAgP2Se6 | Alexandria via LeMat-Bulk | GGA-PBE | optimized geometry
# - formation energy without anion corrections (meV per atom) = -554
# - total DFT energy (no corrections) (eV/atom) = -4.459
data_TmAgP2Se6
_cell_length_a 6.6346
_cell_length_b 6.6346
_cell_length_c 14.8578
_cell_angle_alpha 90.00
_cell_angle_beta 90.00
_cell_angle_gamma 120.00
_space_group_name_H-M_alt 'P -3 1 c'
_space_group_IT_number 163
_space_group_name_Hall '-P 3 2c'
loop_
_atom_site_label
_atom_site_type_symbol
_atom_site_fract_x
_atom_site_fract_y
_atom_site_fract_z
Tm1 Tm 0.0000 0.0000 0.2500
Ag1 Ag 0.3333 0.6667 0.2500
P1 P 0.3333 0.6667 0.6735
Se1 Se 0.0220 0.3421 0.6287

---

Q: The lowest total DFT energy (no corrections) belongs to which entry?
A: Pr3Si